First-principles (PBE with a Hubbard U) data for TiGaCo2O6 after structural relaxation, as listed in Alexandria.

abc: 5.010 5.009 5.419
angles: 62.47 62.45 60.00
Site moments in Bohr magnetons follow the coordinates.
Element x y z (fractional)
Ti: 0.317 0.317 0.050  0.04
Ga: 0.807 0.807 0.580  0.00
Co: 0.524 0.524 0.429  2.65
Co: 0.011 0.011 0.967  0.06
O: 0.613 0.207 0.240  0.02
O: 0.207 0.939 0.241  0.02
O: 0.939 0.614 0.241  0.02
O: 0.407 0.730 0.756  0.03
O: 0.731 0.106 0.756  0.03
O: 0.106 0.407 0.756  0.03

Properties
Space group: R3
Electronic total energy (Ry/atom): -0.505
Magnetic moment (Bohr magnetons per cell): 2.96